YAgP2 | GGA-PBE | optimized geometry

Cell: 3.745 3.745 6.078 Å, 90.00 90.00 90.00°
Fractional positions:
Ag 0.500 0.500 0.750
P 0.000 0.000 0.063
Y 0.500 0.500 0.250
P 0.000 0.000 0.437

Output
As for the total energy: -21.54 eV per cell. Its space group is P4/mmm (123). For the density of states at the Fermi level, the calculation gives 2.66 states/eV per cell. The formation energy comes out at -0.3501 eV/atom.



Dy11Zn4Cd9 | GGA-PBE | optimized geometry

Cell: 3.738 13.126 13.126 Å, 112.56 90.00 90.00°
Fractional positions:
Dy 0.000 0.164 0.836
Cd 0.500 0.847 0.368
Cd 0.500 0.632 0.153
Cd 0.500 0.213 0.065
Dy 0.000 0.638 0.362
Zn 0.500 0.741 0.549
Dy 0.000 0.836 0.164
Cd 0.500 0.500 0.500
Cd 0.500 0.065 0.213
Zn 0.500 0.451 0.259
Cd 0.500 0.368 0.847
Cd 0.500 0.153 0.632
Zn 0.500 0.549 0.741
Dy 0.000 0.362 0.638
Dy 0.000 0.586 0.926
Dy 0.000 0.290 0.290
Cd 0.500 0.787 0.935
Dy 0.000 0.414 0.074
Zn 0.500 0.259 0.451
Dy 0.000 0.000 0.000
Dy 0.000 0.710 0.710
Cd 0.500 0.935 0.787
Dy 0.000 0.926 0.586
Dy 0.000 0.074 0.414

Output
As for the total energy: -71.45 eV per cell. Its space group is Cmmm (65). For the density of states at the Fermi level, the calculation gives 23.49 states/eV per cell. The formation energy comes out at -0.3122 eV/atom.



Ba2NaAu | GGA-PBE | optimized geometry

Cell: 9.631 9.631 7.925 Å, 52.58 52.58 90.00°
Fractional positions:
Ba 0.875 0.934 0.750
Au 0.000 0.000 0.000
Ba 0.066 0.625 0.250
Na 0.250 0.750 0.500
Ba 0.684 0.125 0.250
Na 0.500 0.500 0.000
Au 0.750 0.250 0.500
Ba 0.375 0.316 0.750

Output
As for the total energy: -18.45 eV per cell. As for the offset from the most stable computed form: 17.5 kJ per mole of atoms. Its space group is I-42d (122). For the density of states at the Fermi level, the calculation gives 5.91 states/eV per cell. The formation energy comes out at -0.1953 eV/atom.



Repeat the first record exactly.
YAgP2 | GGA-PBE | optimized geometry

Cell: 3.745 3.745 6.078 Å, 90.00 90.00 90.00°
Fractional positions:
Ag 0.500 0.500 0.750
P 0.000 0.000 0.063
Y 0.500 0.500 0.250
P 0.000 0.000 0.437

Output
As for the total energy: -21.54 eV per cell. Its space group is P4/mmm (123). For the density of states at the Fermi level, the calculation gives 2.66 states/eV per cell. The formation energy comes out at -0.3501 eV/atom.